1.
Material: Pm2Y2HoMg5
Method: DFT, PBE-GGA
State: relaxed

Structure (POSCAR):
```
Pm2Y2HoMg5
1.0
5.0727 0.0000 0.0000
0.0000 10.6422 0.0000
0.0000 0.0000 10.6422
Mg Pm Ho Y
10 4 2 4
direct
0.5000 0.3046 0.5729
0.5000 0.1954 0.0729
0.5000 0.4271 0.3046
0.5000 0.9271 0.1954
0.5000 0.0000 0.5000
0.5000 0.6954 0.4271
0.5000 0.5729 0.6954
0.5000 0.0729 0.8046
0.5000 0.5000 0.0000
0.5000 0.8046 0.9271
0.0000 0.1763 0.3237
0.0000 0.3237 0.8237
0.0000 0.8237 0.6763
0.0000 0.6763 0.1763
0.0000 0.0000 0.0000
0.0000 0.5000 0.5000
0.0000 0.6212 0.8788
0.0000 0.1212 0.6212
0.0000 0.3788 0.1212
0.0000 0.8788 0.3788
```

**Space group**: P4/mbm
**DOS at the Fermi energy**: 6.8 states/eV/f.u.
**Calculated total energy**: -3.4553 eV/atom
**Formation energy**: 43 meV per atom
**Spin magnetization**: 0.00 μB/f.u.
**Crystal system**: tetragonal
**Theoretical density**: 4.4 g cm⁻³

2.
Material: Pm6Y2Ho3Mg
Method: DFT, PBE-GGA
State: relaxed

Structure (POSCAR):
```
Pm6Y2Ho3Mg
1.0
6.2082 -0.0026 0.0022
-3.1048 5.3760 0.0022
-1.0423 -1.8048 11.5829
Pm Mg Ho Y
6 1 3 2
direct
0.0826 0.4147 0.2498
0.7506 0.7506 0.2510
0.4147 0.0826 0.2498
0.2494 0.2494 0.7490
0.9174 0.5853 0.7502
0.5853 0.9174 0.7502
0.0000 0.0000 0.0000
0.1665 0.8335 0.5000
0.5000 0.5000 0.5000
0.8335 0.1665 0.5000
0.6665 0.3335 0.0000
0.3335 0.6665 0.0000
```

**Space group**: C2/m
**DOS at the Fermi energy**: 13.5 states/eV/f.u.
**Calculated total energy**: -4.7100 eV/atom
**Formation energy**: 20 meV per atom
**Spin magnetization**: 0.00 μB/f.u.
**Crystal system**: monoclinic
**Theoretical density**: 6.7 g cm⁻³

3.
Material: Pm6YHo2Mg
Method: DFT, PBE-GGA
State: relaxed

Structure (POSCAR):
```
Pm6YHo2Mg
1.0
-2.8535 6.6503 5.8310
-5.1503 3.0783 -6.6412
-3.3053 -6.5016 5.1876
Pm Y Mg Ho
12 2 2 4
direct
0.8943 0.2817 0.5010
0.4480 0.2223 0.8655
0.7007 0.9971 0.5663
0.2993 0.0029 0.4337
0.2007 0.5663 0.9971
0.7993 0.4337 0.0029
0.0520 0.1345 0.7777
0.5520 0.7777 0.1345
0.1057 0.7183 0.4990
0.9480 0.8655 0.2223
0.6057 0.4990 0.7183
0.3943 0.5010 0.2817
0.7500 0.0243 0.9757
0.2500 0.9757 0.0243
0.2500 0.4191 0.5809
0.7500 0.5809 0.4191
0.9505 0.6834 0.7931
0.0495 0.3166 0.2069
0.4505 0.7931 0.6834
0.5495 0.2069 0.3166
```

**Space group**: C2/c
**DOS at the Fermi energy**: 13.2 states/eV/f.u.
**Calculated total energy**: -4.4550 eV/atom
**Formation energy**: 117 meV per atom
**Spin magnetization**: 0.00 μB/f.u.
**Crystal system**: monoclinic
**Theoretical density**: 6.6 g cm⁻³

4.
Material: PmYHoMg
Method: DFT, PBE-GGA
State: relaxed

Structure (POSCAR):
```
PmYHoMg
1.0
3.6466 0.0000 0.0000
0.0000 3.6466 0.0000
0.0000 0.0000 9.0936
Mg Pm Ho Y
1 1 1 1
direct
0.0000 0.0000 0.5695
0.0000 0.0000 0.0737
0.5000 0.5000 0.3439
0.5000 0.5000 0.7976
```

**Space group**: P4mm
**DOS at the Fermi energy**: 4.9 states/eV/f.u.
**Calculated total energy**: -4.3802 eV/atom
**Formation energy**: -33 meV per atom
**Spin magnetization**: 0.00 μB/f.u.
**Crystal system**: tetragonal
**Theoretical density**: 5.8 g cm⁻³
**Energy above the lowest structure with this stoichiometry**: 0.00 eV per formula unit

5.
Material: Pm4Y2HoMg
Method: DFT, PBE-GGA
State: relaxed

Structure (POSCAR):
```
Pm4Y2HoMg
1.0
-3.8254 -0.4034 3.2605
1.6885 -4.5445 1.4188
7.3158 -0.2310 8.5546
Ho Mg Y Pm
1 1 2 4
direct
0.0000 0.5000 0.5000
0.5000 0.5000 0.0000
0.5000 0.0000 0.5000
0.0000 0.0000 0.0000
0.5000 0.7526 0.2467
0.0000 0.7471 0.7532
0.0000 0.2529 0.2468
0.5000 0.2474 0.7533
```

**Space group**: P4/mmm
**DOS at the Fermi energy**: 10.9 states/eV/f.u.
**Calculated total energy**: -4.7528 eV/atom
**Formation energy**: 10 meV per atom
**Spin magnetization**: 0.00 μB/f.u.
**Crystal system**: tetragonal
**Theoretical density**: 6.1 g cm⁻³

6.
Material: PmYHoMg
Method: DFT, PBE-GGA
State: relaxed

Structure (POSCAR):
```
PmYHoMg
1.0
5.5466 0.0000 0.0000
2.7733 4.8035 0.0000
2.7733 1.6012 4.5288
Mg Y Ho Pm
1 1 1 1
direct
0.2500 0.2500 0.2500
0.5000 0.5000 0.5000
0.7500 0.7500 0.7500
0.0000 0.0000 0.0000
```

**Space group**: F-43m
**DOS at the Fermi energy**: 5.5 states/eV/f.u.
**Calculated total energy**: -4.3123 eV/atom
**Formation energy**: 34 meV per atom
**Spin magnetization**: 0.00 μB/f.u.
**Crystal system**: cubic
**Theoretical density**: 5.8 g cm⁻³
**Energy above the lowest structure with this stoichiometry**: 0.27 eV per formula unit

7.
Material: Pm2Y3Ho6Mg
Method: DFT, PBE-GGA
State: relaxed

Structure (POSCAR):
```
Pm2Y3Ho6Mg
1.0
6.1237 -0.0031 0.0018
-3.0630 5.3026 0.0018
-1.0302 -1.7838 11.5528
Ho Y Pm Mg
6 3 2 1
direct
0.0828 0.4148 0.2499
0.7508 0.7508 0.2508
0.4148 0.0828 0.2499
0.9172 0.5852 0.7501
0.5852 0.9172 0.7501
0.2492 0.2492 0.7492
0.1655 0.8345 0.5000
0.5000 0.5000 0.5000
0.8345 0.1655 0.5000
0.6664 0.3336 0.0000
0.3336 0.6664 0.0000
0.0000 0.0000 0.0000
```

**Space group**: C2/m
**DOS at the Fermi energy**: 17.7 states/eV/f.u.
**Calculated total energy**: -4.8037 eV/atom
**Formation energy**: 26 meV per atom
**Spin magnetization**: 0.00 μB/f.u.
**Crystal system**: monoclinic
**Theoretical density**: 7.0 g cm⁻³

8.
Material: Pm2Y4HoMg
Method: DFT, PBE-GGA
State: relaxed

Structure (POSCAR):
```
Pm2Y4HoMg
1.0
4.9966 0.0000 0.0000
0.0000 4.8957 1.0366
0.0001 2.8019 10.9476
Y Pm Mg Ho
4 2 1 1
direct
0.5000 0.2488 0.7514
0.5000 0.7512 0.2486
0.0000 0.2515 0.2485
0.0000 0.7485 0.7515
0.5000 0.0000 0.5000
0.0000 0.0000 0.0000
0.5000 0.5000 0.0000
0.0000 0.5000 0.5000
```

**Space group**: P4/mmm
**DOS at the Fermi energy**: 12.8 states/eV/f.u.
**Calculated total energy**: -5.1645 eV/atom
**Formation energy**: 27 meV per atom
**Spin magnetization**: 0.00 μB/f.u.
**Crystal system**: tetragonal
**Theoretical density**: 5.5 g cm⁻³